Material: Li7Mn2Co3O12
Method: DFT, PBE+U
State: optimized geometry

Properties
Energy relative to the lowest polymorph listed for this composition (meV per atom): 55.9

The structure in CIF format:
```
data_Li7Mn2Co3O12
_chemical_formula_sum 'Li14 Mn4 Co6 O24'
_symmetry_space_group_name_H-M 'C 1 m 1'
_symmetry_Int_Tables_number 8
_symmetry_space_group_name_Hall 'C -2y'
_cell_length_a 15.350
_cell_length_b 2.903
_cell_length_c 10.227
_cell_angle_alpha 90.00
_cell_angle_beta 109.92
_cell_angle_gamma 90.00
loop_
_atom_site_label
_atom_site_type_symbol
_atom_site_fract_x
_atom_site_fract_y
_atom_site_fract_z
Li1 Li 0.000 0.000 0.000
Li2 Li 0.001 0.500 0.772
Li3 Li 0.162 0.000 0.917
Li4 Li 0.173 0.000 0.414
Li5 Li 0.330 0.500 0.077
Li6 Li 0.331 0.500 0.592
Li7 Li 0.494 0.000 0.231
Mn1 Mn 0.002 0.000 0.508
Mn2 Mn 0.162 0.500 0.160
Co1 Co 0.170 0.500 0.668
Co2 Co 0.335 0.000 0.334
Co3 Co 0.344 0.000 0.851
O1 O 0.080 0.500 0.477
O2 O 0.086 0.000 0.700
O3 O 0.089 0.500 0.975
O4 O 0.093 0.000 0.207
O5 O 0.240 0.000 0.128
O6 O 0.242 0.000 0.626
O7 O 0.250 0.500 0.853
O8 O 0.251 0.500 0.361
O9 O 0.406 0.000 0.035
O10 O 0.410 0.500 0.794
O11 O 0.424 0.500 0.315
O12 O 0.431 0.000 0.546
```